Below is a relaxed ZrInCl crystal, with properties calculated at the GGA-PBE level.

Its offset from the most stable computed form is 279 meV per atom.

Unit cell a=3.211 b=3.211 c=14.517 alpha=90.00 beta=90.00 gamma=90.00
Space group I4mm (No. 107)
Inequivalent atoms, fractional coordinates:
Zr: 0.000 0.000 0.000 (multiplicity 2)
In: 0.000 0.000 0.359 (multiplicity 2)
Cl: 0.000 0.000 0.615 (multiplicity 2)



Below is a relaxed ZrIn2Cl crystal, with properties calculated at the GGA-PBE level.

Its offset from the most stable computed form is 158 meV per atom.

Unit cell a=11.583 b=3.160 c=5.496 alpha=90.00 beta=108.22 gamma=90.00
Space group Cm (No. 8)
Inequivalent atoms, fractional coordinates:
Zr: 0.000 0.000 0.000 (multiplicity 2)
In: 0.251 0.000 0.856 (multiplicity 2)
In: 0.454 0.000 0.491 (multiplicity 2)
Cl: 0.169 0.500 0.288 (multiplicity 2)



Below is a relaxed ZrInCl crystal, with properties calculated at the GGA-PBE level.

Its offset from the most stable computed form is 1088 meV per atom.

Unit cell a=6.806 b=6.806 c=6.806 alpha=90.00 beta=90.00 gamma=90.00
Space group F-43m (No. 216)
Inequivalent atoms, fractional coordinates:
Zr: 0.000 0.000 0.000 (multiplicity 4)
In: 0.250 0.250 0.250 (multiplicity 4)
Cl: 0.250 0.250 0.750 (multiplicity 4)



Below is a relaxed ZrIn4Cl crystal, with properties calculated at the GGA-PBE level.

Unit cell a=8.406 b=8.406 c=8.406 alpha=90.00 beta=90.00 gamma=90.00
Space group F-43m (No. 216)
Inequivalent atoms, fractional coordinates:
Zr: 0.000 0.000 0.000 (multiplicity 4)
In: 0.125 0.125 0.375 (multiplicity 16)
Cl: 0.250 0.250 0.750 (multiplicity 4)



| no. | Fermi-level density of states (states/eV/f.u.) | raw formation energy (kcal/mol of atoms) | size of the total moment (μB per cell) |
| --- | --- | --- | --- |
| 1 | 1.60 | -13.79 | 0.00 |
| 2 | 2.62 | -10.36 | 0.00 |
| 3 | 4.37 | 4.88 | 0.03 |
| 4 | 3.64 | 1.13 | 0.00 |